# Re2SiPt PBE relaxed
# VASP energy (eV per atom): -9.221
# Total magnetization (μB per formula unit): 0.0
# E_form (uncorrected) (meV/atom): -131
# DOS at the Fermi energy (states/eV/atom): 0.9678
data_Re2SiPt
_cell_length_a 2.886
_cell_length_b 2.886
_cell_length_c 6.928
_cell_angle_alpha 90.00
_cell_angle_beta 90.00
_cell_angle_gamma 90.00
_space_group_name_H-M_alt 'P 1'
_space_group_IT_number 1
_space_group_name_Hall 'P 1'
loop_
_atom_site_label
_atom_site_fract_x
_atom_site_fract_y
_atom_site_fract_z
_atom_site_occupancy
Re1 0.000 0.000 0.000 1
Re2 0.500 0.500 0.252 1
Si1 0.500 0.500 0.780 1
Pt1 0.000 0.000 0.556 1

---

# Cs2TlBrO PBE relaxed
# VASP energy (eV per atom): -3.192
# Total magnetization (μB per formula unit): 0.0
# E_form (uncorrected) (meV/atom): -1051
# DOS at the Fermi energy (states/eV/atom): 0.3112
data_Cs2TlBrO
_cell_length_a 6.140
_cell_length_b 6.140
_cell_length_c 5.093
_cell_angle_alpha 90.00
_cell_angle_beta 90.00
_cell_angle_gamma 90.00
_space_group_name_H-M_alt 'P 1'
_space_group_IT_number 1
_space_group_name_Hall 'P 1'
loop_
_atom_site_label
_atom_site_fract_x
_atom_site_fract_y
_atom_site_fract_z
_atom_site_occupancy
Cs1 0.000 0.500 0.000 1
Cs2 0.500 0.000 0.000 1
Tl1 0.000 0.000 0.500 1
Br1 0.500 0.500 0.500 1
O1 0.000 0.000 0.000 1

---

# TaCrTc PBE relaxed
# VASP energy (eV per atom): -9.740
# Polymorph energy (0 for the lowest one) (meV/atom): 1002.5
# Total magnetization (μB per formula unit): 2.7
# Energy of formation (eV/atom): 0.87
# DOS at the Fermi energy (states/eV/atom): 1.3173
data_TaCrTc
_cell_length_a 4.261
_cell_length_b 4.261
_cell_length_c 4.261
_cell_angle_alpha 60.00
_cell_angle_beta 60.00
_cell_angle_gamma 60.00
_space_group_name_H-M_alt 'P 1'
_space_group_IT_number 1
_space_group_name_Hall 'P 1'
loop_
_atom_site_label
_atom_site_fract_x
_atom_site_fract_y
_atom_site_fract_z
_atom_site_occupancy
Ta1 0.000 0.000 0.000 1
Cr1 0.750 0.750 0.750 1
Tc1 0.250 0.250 0.250 1

---

# TiCo2HPd PBE relaxed
# VASP energy (eV per atom): -6.393
# Polymorph energy (0 for the lowest one) (meV/atom): 17.6
# Total magnetization (μB per formula unit): 0.8
# DOS at the Fermi energy (states/eV/atom): 0.4393
data_TiCo2HPd
_cell_length_a 3.759
_cell_length_b 3.759
_cell_length_c 3.766
_cell_angle_alpha 90.00
_cell_angle_beta 90.00
_cell_angle_gamma 90.00
_space_group_name_H-M_alt 'P 1'
_space_group_IT_number 1
_space_group_name_Hall 'P 1'
loop_
_atom_site_label
_atom_site_fract_x
_atom_site_fract_y
_atom_site_fract_z
_atom_site_occupancy
Ti1 0.000 0.000 0.000 1
Co1 0.000 0.500 0.500 1
Co2 0.500 0.000 0.500 1
H1 0.500 0.500 0.500 1
Pd1 0.500 0.500 0.000 1

---

# Tb4Bi5Ir PBE relaxed
# VASP energy (eV per atom): -5.203
# Total magnetization (μB per formula unit): 0.0
# Energy of formation (eV/atom): -0.52
# DOS at the Fermi energy (states/eV/atom): 0.4753
data_Tb4Bi5Ir
_cell_length_a 9.259
_cell_length_b 9.259
_cell_length_c 8.467
_cell_angle_alpha 107.88
_cell_angle_beta 107.88
_cell_angle_gamma 27.18
_space_group_name_H-M_alt 'P 1'
_space_group_IT_number 1
_space_group_name_Hall 'P 1'
loop_
_atom_site_label
_atom_site_fract_x
_atom_site_fract_y
_atom_site_fract_z
_atom_site_occupancy
Tb1 0.041 0.041 0.228 1
Tb2 0.356 0.356 0.050 1
Tb3 0.644 0.644 0.950 1
Tb4 0.959 0.959 0.772 1
Bi1 0.144 0.144 0.644 1
Bi2 0.218 0.218 0.237 1
Bi3 0.500 0.500 0.500 1
Bi4 0.782 0.782 0.763 1
Bi5 0.856 0.856 0.356 1
Ir1 0.500 0.500 0.000 1

---

# CrBr3 PBE relaxed
# VASP energy (eV per atom): -3.999
# Total magnetization (μB per formula unit): 3.4
# E_form (uncorrected) (meV/atom): -338
# DOS at the Fermi energy (states/eV/atom): 1.2365
data_CrBr3
_cell_length_a 6.929
_cell_length_b 6.929
_cell_length_c 6.929
_cell_angle_alpha 151.78
_cell_angle_beta 125.22
_cell_angle_gamma 62.76
_space_group_name_H-M_alt 'P 1'
_space_group_IT_number 1
_space_group_name_Hall 'P 1'
loop_
_atom_site_label
_atom_site_fract_x
_atom_site_fract_y
_atom_site_fract_z
_atom_site_occupancy
Cr1 0.000 0.000 0.000 1
Br1 0.152 0.652 0.500 1
Br2 0.500 0.500 0.000 1
Br3 0.848 0.348 0.500 1